Entry from the Alexandria database: a relaxed structure of Hf3ZnBi (PBE).

mass density = 8.88 g/cm3
magnetization = 0.0000 μB per atom
VASP energy = -27.9 eV/cell
energy of formation = 1.42 eV/atom
SG = No. 221

a = 5.331 Å, b = 5.331 Å, c = 5.331 Å
α = 90.00°, β = 90.00°, γ = 90.00°
Element x y z (fractional)
Bi 0.000 0.000 0.000
Hf 0.000 0.000 0.500
Zn 0.500 0.500 0.500
Hf 0.500 0.000 0.000
Hf 0.000 0.500 0.000